(1)
Np3Co5O12 | Alexandria via LeMat-Bulk | PBE+U | relaxed; E_tot = -645.2 eV per cell; Fermi-level density of states = 103.86 states/eV/cell
1.0
-1.600 10.620 0.222
0.462 -3.763 10.051
9.242 -2.124 -5.047
Np Co O
12 20 48
direct
0.750 0.375 0.125
0.875 0.750 0.125
0.375 0.750 0.625
0.250 0.125 0.375
0.875 0.125 0.250
0.375 0.625 0.250
0.625 0.375 0.750
0.125 0.875 0.750
0.750 0.875 0.625
0.625 0.250 0.375
0.125 0.250 0.875
0.250 0.625 0.875
0.125 0.375 0.250
0.000 0.500 0.000
0.000 0.000 0.000
0.375 0.250 0.125
0.500 0.000 0.500
0.500 0.500 0.000
0.125 0.750 0.375
0.750 0.125 0.875
0.750 0.625 0.375
0.375 0.125 0.750
0.625 0.875 0.250
0.500 0.500 0.500
0.500 0.000 0.000
0.000 0.000 0.500
0.250 0.375 0.625
0.250 0.875 0.125
0.000 0.500 0.500
0.875 0.250 0.625
0.625 0.750 0.875
0.875 0.625 0.750
0.717 0.131 0.042
0.325 0.542 0.412
0.958 0.369 0.283
0.542 0.217 0.131
0.586 0.717 0.675
0.958 0.588 0.175
0.325 0.783 0.414
0.088 0.914 0.131
0.588 0.958 0.675
0.717 0.586 0.175
0.783 0.458 0.369
0.825 0.912 0.042
0.131 0.717 0.542
0.369 0.412 0.086
0.086 0.912 0.369
0.414 0.131 0.588
0.086 0.175 0.217
0.458 0.675 0.088
0.825 0.914 0.283
0.131 0.414 0.088
0.369 0.958 0.783
0.588 0.631 0.414
0.912 0.825 0.542
0.783 0.325 0.914
0.412 0.369 0.586
0.088 0.175 0.458
0.217 0.675 0.086
0.175 0.086 0.717
0.631 0.042 0.217
0.869 0.586 0.912
0.542 0.325 0.912
0.586 0.869 0.412
0.914 0.825 0.783
0.914 0.088 0.631
0.869 0.283 0.458
0.175 0.088 0.958
0.631 0.588 0.914
0.412 0.042 0.325
0.283 0.414 0.825
0.217 0.542 0.631
0.912 0.086 0.869
0.675 0.217 0.586
0.458 0.783 0.869
0.042 0.412 0.825
0.414 0.283 0.325
0.042 0.631 0.717
0.675 0.458 0.588
0.283 0.869 0.958

=====

(2)
NpCo2O5 | Alexandria via LeMat-Bulk | PBE+U | relaxed; E_tot = -247.0 eV per cell; Fermi-level density of states = 15.67 states/eV/cell
1.0
7.761 0.000 0.000
0.000 6.530 0.000
0.000 0.000 8.673
Np Co O
4 8 20
direct
0.500 0.250 0.500
0.500 0.750 0.500
0.000 0.750 0.000
0.000 0.250 0.000
0.587 0.500 0.868
0.413 0.500 0.132
0.087 0.500 0.632
0.413 0.000 0.132
0.913 0.500 0.368
0.587 0.000 0.868
0.913 0.000 0.368
0.087 0.000 0.632
0.000 0.250 0.500
0.000 0.750 0.500
0.500 0.750 0.000
0.500 0.250 0.000
0.341 0.000 0.570
0.659 0.000 0.430
0.841 0.000 0.930
0.659 0.500 0.430
0.159 0.000 0.070
0.341 0.500 0.570
0.159 0.500 0.070
0.841 0.500 0.930
0.103 0.250 0.793
0.897 0.750 0.207
0.603 0.750 0.707
0.397 0.250 0.293
0.602 0.250 0.707
0.398 0.750 0.293
0.102 0.750 0.793
0.898 0.250 0.207

=====

(3)
NpCoOsO6 | Alexandria via LeMat-Bulk | PBE+U | relaxed; E_tot = -148.3 eV per cell; Fermi-level density of states = 7.83 states/eV/cell
1.0
-1.762 -0.688 -4.841
3.019 -3.611 2.205
-7.325 -4.136 3.254
Np Co Os O
2 2 2 12
direct
0.667 0.333 0.250
0.333 0.667 0.750
0.333 0.667 0.250
0.667 0.333 0.750
0.000 0.000 0.000
0.000 0.000 0.500
0.682 0.684 0.124
0.002 0.318 0.124
0.318 0.002 0.624
0.998 0.682 0.876
0.316 0.318 0.376
0.002 0.684 0.376
0.684 0.002 0.876
0.682 0.998 0.376
0.998 0.316 0.624
0.316 0.998 0.124
0.684 0.682 0.624
0.318 0.316 0.876

=====

(4)
NpCoPb2O8 | Alexandria via LeMat-Bulk | PBE+U | relaxed; E_tot = -83.0 eV per cell; Fermi-level density of states = 4.10 states/eV/cell
1.0
5.066 -0.039 -0.003
-0.021 5.061 -0.006
0.004 0.008 6.569
Np Co Pb O
1 1 2 8
direct
0.000 0.000 0.000
0.000 0.000 0.500
0.500 0.500 0.742
0.500 0.500 0.258
0.183 0.816 0.235
0.695 0.697 0.000
0.817 0.184 0.235
0.817 0.184 0.765
0.305 0.303 0.000
0.183 0.816 0.765
0.708 0.709 0.500
0.292 0.291 0.500

=====

(5)
NpCoPbO6 | Alexandria via LeMat-Bulk | PBE+U | relaxed; E_tot = -135.0 eV per cell
1.0
5.218 0.000 0.000
-2.609 4.519 0.000
0.000 0.000 11.014
Np Co Pb O
2 2 2 12
direct
0.667 0.333 0.250
0.333 0.667 0.750
0.333 0.667 0.250
0.667 0.333 0.750
0.000 0.000 0.000
0.000 0.000 0.500
0.623 0.637 0.150
0.014 0.377 0.150
0.377 0.014 0.650
0.986 0.623 0.850
0.363 0.377 0.350
0.014 0.637 0.350
0.637 0.014 0.850
0.623 0.986 0.350
0.986 0.363 0.650
0.363 0.986 0.150
0.637 0.623 0.650
0.377 0.363 0.850

=====

(6)
NpCoPb2O6 | Alexandria via LeMat-Bulk | PBE+U | relaxed; E_tot = -72.2 eV per cell; Fermi-level density of states = 0.01 states/eV/cell
1.0
-3.480 4.098 -2.243
-3.519 -4.087 -2.008
1.380 0.039 5.750
Np Co Pb O
1 1 2 6
direct
0.000 0.500 0.000
0.500 0.000 0.000
0.227 0.254 0.508
0.773 0.746 0.492
0.305 0.734 0.468
0.214 0.201 0.914
0.786 0.287 0.086
0.214 0.713 0.914
0.786 0.799 0.086
0.695 0.266 0.532

=====

(7)
NpCo2PdO8 | Alexandria via LeMat-Bulk | PBE+U | relaxed; E_tot = -81.2 eV per cell; Fermi-level density of states = 4.51 states/eV/cell
1.0
5.774 0.438 0.000
-2.169 5.369 0.000
-1.803 -2.904 4.675
Np Co Pd O
1 2 1 8
direct
0.250 0.750 0.500
0.750 0.250 0.500
0.500 0.500 0.000
0.000 0.000 0.000
0.367 0.058 0.309
0.309 0.516 0.208
0.309 0.101 0.792
0.749 0.058 0.691
0.899 0.691 0.208
0.942 0.251 0.309
0.942 0.633 0.691
0.484 0.691 0.792

=====

(8)
PmNpCo2O8 | Alexandria via LeMat-Bulk | PBE+U | relaxed; E_tot = -90.5 eV per cell
1.0
-0.809 -5.381 -2.369
4.398 -0.026 3.984
-5.009 1.628 2.734
Pm Np Co O
1 1 2 8
direct
0.000 0.000 0.000
0.250 0.750 0.500
0.750 0.250 0.500
0.500 0.500 0.000
0.390 0.060 0.330
0.303 0.513 0.209
0.303 0.094 0.791
0.729 0.060 0.670
0.906 0.697 0.209
0.940 0.271 0.330
0.940 0.610 0.670
0.487 0.697 0.791

=====

(9)
PmNpCoO6 | Alexandria via LeMat-Bulk | PBE+U | relaxed; E_tot = -145.0 eV per cell; Fermi-level density of states = 13.44 states/eV/cell
1.0
-0.899 -1.899 -5.351
2.643 -3.366 3.838
-7.612 -3.218 2.421
Pm Np Co O
2 2 2 12
direct
0.333 0.667 0.250
0.667 0.333 0.750
0.667 0.333 0.250
0.333 0.667 0.750
0.000 0.000 0.000
0.000 0.000 0.500
0.688 0.645 0.126
0.958 0.312 0.126
0.312 0.958 0.626
0.042 0.688 0.874
0.355 0.312 0.374
0.958 0.645 0.374
0.645 0.958 0.874
0.688 0.042 0.374
0.042 0.355 0.626
0.355 0.042 0.126
0.645 0.688 0.626
0.312 0.355 0.874

=====

(10)
PrNpCo2O8 | Alexandria via LeMat-Bulk | PBE+U | relaxed; E_tot = -90.3 eV per cell; Fermi-level density of states = 1.28 states/eV/cell
1.0
6.006 0.169 0.000
-2.513 5.458 0.000
-1.747 -2.813 5.014
Pr Np Co O
1 1 2 8
direct
0.000 0.000 0.000
0.250 0.750 0.500
0.750 0.250 0.500
0.500 0.500 0.000
0.384 0.061 0.322
0.317 0.535 0.218
0.317 0.099 0.782
0.739 0.061 0.678
0.901 0.683 0.218
0.939 0.261 0.322
0.939 0.616 0.678
0.465 0.683 0.782

=====

(11)
NpCoPtO6 | Alexandria via LeMat-Bulk | PBE+U | relaxed; E_tot = -136.2 eV per cell
1.0
5.231 0.000 0.000
-2.616 4.530 0.000
0.000 0.000 9.239
Np Co Pt O
2 2 2 12
direct
0.667 0.333 0.250
0.333 0.667 0.750
0.000 0.000 0.000
0.000 0.000 0.500
0.333 0.667 0.250
0.667 0.333 0.750
0.661 0.667 0.128
0.007 0.339 0.128
0.339 0.007 0.628
0.993 0.661 0.872
0.333 0.339 0.372
0.007 0.667 0.372
0.667 0.007 0.872
0.661 0.993 0.372
0.993 0.333 0.628
0.333 0.993 0.128
0.667 0.661 0.628
0.339 0.333 0.872

=====

(12)
NpCo2PtO8 | Alexandria via LeMat-Bulk | PBE+U | relaxed; E_tot = -82.2 eV per cell; Fermi-level density of states = 8.31 states/eV/cell
1.0
-1.265 4.273 -3.751
-4.574 -0.332 3.591
4.920 1.110 2.913
Np Co Pt O
1 2 1 8
direct
0.250 0.750 0.500
0.750 0.250 0.500
0.500 0.500 0.000
0.000 0.000 0.000
0.338 0.038 0.299
0.322 0.529 0.208
0.322 0.114 0.792
0.739 0.038 0.701
0.886 0.678 0.208
0.962 0.261 0.299
0.962 0.662 0.701
0.471 0.678 0.792

=====

(13)
Rb3Np2CoO9 | Alexandria via LeMat-Bulk | PBE+U | relaxed; E_tot = -111.6 eV per cell; Fermi-level density of states = 7.36 states/eV/cell
1.0
5.990 0.000 0.000
-2.995 5.188 0.000
0.000 0.000 7.357
Rb Np Co O
3 2 1 9
direct
0.333 0.667 0.659
0.000 0.000 0.000
0.667 0.333 0.341
0.333 0.667 0.174
0.667 0.333 0.826
0.000 0.000 0.500
0.826 0.174 0.674
0.826 0.653 0.674
0.347 0.174 0.674
0.653 0.826 0.326
0.174 0.347 0.326
0.174 0.826 0.326
0.500 0.000 0.000
0.000 0.500 0.000
0.500 0.500 0.000

=====

(14)
RbNp2CoO8 | Alexandria via LeMat-Bulk | PBE+U | relaxed; E_tot = -97.7 eV per cell; Fermi-level density of states = 6.04 states/eV/cell
1.0
-3.834 2.490 2.456
0.035 -2.794 4.370
4.565 4.525 3.268
Rb Np Co O
1 2 1 8
direct
0.000 0.000 0.500
0.494 0.494 0.766
0.506 0.506 0.234
0.000 0.000 0.000
0.212 0.776 0.200
0.669 0.670 0.014
0.777 0.213 0.200
0.788 0.224 0.800
0.331 0.330 0.986
0.223 0.787 0.800
0.651 0.653 0.548
0.349 0.347 0.452

=====

(15)
Rb2NpCoO6 | Alexandria via LeMat-Bulk | PBE+U | relaxed; E_tot = -69.0 eV per cell; Fermi-level density of states = 0.49 states/eV/cell
1.0
5.584 0.000 0.000
0.000 5.584 0.000
2.792 2.792 5.284
Rb Np Co O
2 1 1 6
direct
0.750 0.250 0.500
0.250 0.750 0.500
0.000 0.000 0.000
0.500 0.500 0.000
0.179 0.179 0.642
0.733 0.733 0.000
0.267 0.733 0.000
0.733 0.267 0.000
0.267 0.267 0.000
0.821 0.821 0.358

=====

(16)
Rb2NpCo2O6 | Alexandria via LeMat-Bulk | PBE+U | relaxed; E_tot = -74.5 eV per cell; Fermi-level density of states = 7.12 states/eV/cell
1.0
-3.791 -0.088 -4.771
-4.617 -3.974 -0.150
-6.130 2.415 0.935
Rb Np Co O
2 1 2 6
direct
0.776 0.776 0.673
0.224 0.224 0.327
0.000 0.000 0.000
0.427 0.427 0.718
0.573 0.573 0.282
0.770 0.770 0.214
0.245 0.770 0.214
0.770 0.245 0.214
0.230 0.755 0.786
0.755 0.230 0.786
0.230 0.230 0.786